1.
First-principles (PBE) data for a relaxed NbCuIrRu crystal, as listed in Alexandria.

Geometry as POSCAR:
```
NbCuIrRu
1.0
6.1841 0.0000 0.0000
0.0000 6.1841 0.0000
0.0000 0.0000 6.1841
Nb Cu Ir Ru
4 4 4 4
direct
0.0000 0.0000 0.0000
0.0000 0.5000 0.5000
0.5000 0.0000 0.5000
0.5000 0.5000 0.0000
0.0000 0.0000 0.5000
0.0000 0.5000 0.0000
0.5000 0.0000 0.0000
0.5000 0.5000 0.5000
0.2500 0.2500 0.2500
0.2500 0.7500 0.7500
0.7500 0.2500 0.7500
0.7500 0.7500 0.2500
0.2500 0.2500 0.7500
0.2500 0.7500 0.2500
0.7500 0.2500 0.2500
0.7500 0.7500 0.7500
```

Values from the calculation:
ΔE to the lowest computed polymorph   42 meV per atom
E   -8.2531 eV/atom
Formation enthalpy at 0 K   -0.177 eV/atom


2.
First-principles (PBE) data for a relaxed Ce2HfCu crystal, as listed in Alexandria.

Geometry as POSCAR:
```
Ce2HfCu
1.0
3.1670 0.0000 0.0000
0.0000 3.1670 0.0000
0.0000 0.0000 9.1331
Ce Hf Cu
2 1 1
direct
0.0000 0.0000 0.2270
0.0000 0.0000 0.7730
0.5000 0.5000 0.5000
0.5000 0.5000 0.0000
```

Values from the calculation:
ΔE to the lowest computed polymorph   0 meV per atom
E   -6.4068 eV/atom
Formation enthalpy at 0 K   0.073 eV/atom


3.
First-principles (PBE) data for a relaxed PmZnCuSi2 crystal, as listed in Alexandria.

Geometry as POSCAR:
```
PmZnCuSi2
1.0
4.0915 0.0000 0.0000
0.0000 4.0915 0.0000
0.0000 0.0000 10.2392
Pm Zn Cu Si
2 2 2 4
direct
0.0000 0.0000 0.0000
0.5000 0.5000 0.5000
0.0000 0.5000 0.2500
0.5000 0.0000 0.7500
0.0000 0.5000 0.7500
0.5000 0.0000 0.2500
0.0000 0.0000 0.3845
0.0000 0.0000 0.6155
0.5000 0.5000 0.1155
0.5000 0.5000 0.8845
```

Values from the calculation:
E   -4.6862 eV/atom


4.
First-principles (PBE) data for a relaxed Er8C3Se3O crystal, as listed in Alexandria.

Geometry as POSCAR:
```
Er8C3Se3O
1.0
3.6726 2.1204 6.4078
-3.6726 2.1204 6.4078
0.0000 -4.2407 6.4078
Er C Se O
8 3 3 1
direct
0.2242 0.7410 0.7410
0.2346 0.2346 0.2346
0.2590 0.2590 0.7758
0.2590 0.7758 0.2590
0.7410 0.2242 0.7410
0.7410 0.7410 0.2242
0.7654 0.7654 0.7654
0.7758 0.2590 0.2590
0.0000 0.0000 0.5000
0.0000 0.5000 0.0000
0.5000 0.0000 0.0000
0.0000 0.5000 0.5000
0.5000 0.0000 0.5000
0.5000 0.5000 0.0000
0.5000 0.5000 0.5000
```

Values from the calculation:
E   -6.6158 eV/atom


What did the first record say?
First-principles (PBE) data for a relaxed NbCuIrRu crystal, as listed in Alexandria.

Geometry as POSCAR:
```
NbCuIrRu
1.0
6.1841 0.0000 0.0000
0.0000 6.1841 0.0000
0.0000 0.0000 6.1841
Nb Cu Ir Ru
4 4 4 4
direct
0.0000 0.0000 0.0000
0.0000 0.5000 0.5000
0.5000 0.0000 0.5000
0.5000 0.5000 0.0000
0.0000 0.0000 0.5000
0.0000 0.5000 0.0000
0.5000 0.0000 0.0000
0.5000 0.5000 0.5000
0.2500 0.2500 0.2500
0.2500 0.7500 0.7500
0.7500 0.2500 0.7500
0.7500 0.7500 0.2500
0.2500 0.2500 0.7500
0.2500 0.7500 0.2500
0.7500 0.2500 0.2500
0.7500 0.7500 0.7500
```

Values from the calculation:
ΔE to the lowest computed polymorph   42 meV per atom
E   -8.2531 eV/atom
Formation enthalpy at 0 K   -0.177 eV/atom


- Look up the E of the fourth one.
  -6.6158 eV/atom